--- one ---
# PdOF2 GGA-PBE optimized geometry
data_PdOF2
_cell_length_a 3.3994
_cell_length_b 3.3994
_cell_length_c 15.0905
_cell_angle_alpha 90.00
_cell_angle_beta 90.00
_cell_angle_gamma 90.00
_space_group_name_H-M_alt 'P 1'
_space_group_IT_number 1
_space_group_name_Hall 'P 1'
loop_
_atom_site_label
_atom_site_fract_x
_atom_site_fract_y
_atom_site_fract_z
_atom_site_occupancy
Pd1 0.0000 0.0000 0.0000 1
Pd2 0.0000 0.5000 0.2500 1
Pd3 0.5000 0.0000 0.7500 1
Pd4 0.5000 0.5000 0.5000 1
O1 0.0000 0.0000 0.5000 1
O2 0.0000 0.5000 0.7500 1
O3 0.5000 0.0000 0.2500 1
O4 0.5000 0.5000 0.0000 1
F1 0.2265 0.2500 0.1250 1
F2 0.2500 0.7265 0.3750 1
F3 0.2500 0.7735 0.8750 1
F4 0.2735 0.2500 0.6250 1
F5 0.7265 0.7500 0.6250 1
F6 0.7500 0.2265 0.8750 1
F7 0.7500 0.2735 0.3750 1
F8 0.7735 0.7500 0.1250 1
# Magnetization   1.9 μB/f.u.

---

--- two ---
# PdOF2 GGA-PBE optimized geometry
data_PdOF2
_cell_length_a 2.7571
_cell_length_b 2.7571
_cell_length_c 23.9787
_cell_angle_alpha 90.00
_cell_angle_beta 90.00
_cell_angle_gamma 120.00
_space_group_name_H-M_alt 'P 1'
_space_group_IT_number 1
_space_group_name_Hall 'P 1'
loop_
_atom_site_label
_atom_site_fract_x
_atom_site_fract_y
_atom_site_fract_z
_atom_site_occupancy
Pd1 0.0000 0.0000 0.0000 1
Pd2 0.3333 0.6667 0.6667 1
Pd3 0.6667 0.3333 0.3333 1
O1 0.0000 0.0000 0.5000 1
O2 0.3333 0.6667 0.1667 1
O3 0.6667 0.3333 0.8333 1
F1 0.0000 0.0000 0.0793 1
F2 0.0000 0.0000 0.9207 1
F3 0.3333 0.6667 0.5873 1
F4 0.3333 0.6667 0.7460 1
F5 0.6667 0.3333 0.2540 1
F6 0.6667 0.3333 0.4127 1
# Magnetization   1.0 μB/f.u.

---

Relative energy table, unit kJ/mol of atoms: one 0.0; two 25.3

---

--- one ---
# Pd2OF GGA-PBE optimized geometry
data_Pd2OF
_cell_length_a 5.7674
_cell_length_b 5.7674
_cell_length_c 5.7674
_cell_angle_alpha 90.00
_cell_angle_beta 90.00
_cell_angle_gamma 90.00
_space_group_name_H-M_alt 'P 1'
_space_group_IT_number 1
_space_group_name_Hall 'P 1'
loop_
_atom_site_label
_atom_site_fract_x
_atom_site_fract_y
_atom_site_fract_z
_atom_site_occupancy
Pd1 0.2500 0.2500 0.2500 1
Pd2 0.2500 0.2500 0.7500 1
Pd3 0.2500 0.7500 0.2500 1
Pd4 0.2500 0.7500 0.7500 1
Pd5 0.7500 0.2500 0.2500 1
Pd6 0.7500 0.2500 0.7500 1
Pd7 0.7500 0.7500 0.2500 1
Pd8 0.7500 0.7500 0.7500 1
O1 0.0000 0.0000 0.0000 1
O2 0.0000 0.5000 0.5000 1
O3 0.5000 0.0000 0.5000 1
O4 0.5000 0.5000 0.0000 1
F1 0.0000 0.0000 0.5000 1
F2 0.0000 0.5000 0.0000 1
F3 0.5000 0.0000 0.0000 1
F4 0.5000 0.5000 0.5000 1
# Magnetization   2.2 μB/f.u.

---

--- two ---
# Pd2OF GGA-PBE optimized geometry
data_Pd2OF
_cell_length_a 2.8680
_cell_length_b 2.8680
_cell_length_c 21.8432
_cell_angle_alpha 90.00
_cell_angle_beta 90.00
_cell_angle_gamma 120.00
_space_group_name_H-M_alt 'P 1'
_space_group_IT_number 1
_space_group_name_Hall 'P 1'
loop_
_atom_site_label
_atom_site_fract_x
_atom_site_fract_y
_atom_site_fract_z
_atom_site_occupancy
Pd1 0.0000 0.0000 0.0942 1
Pd2 0.0000 0.0000 0.9058 1
Pd3 0.3333 0.6667 0.5724 1
Pd4 0.3333 0.6667 0.7609 1
Pd5 0.6667 0.3333 0.2391 1
Pd6 0.6667 0.3333 0.4276 1
O1 0.0000 0.0000 0.5000 1
O2 0.3333 0.6667 0.1667 1
O3 0.6667 0.3333 0.8333 1
F1 0.0000 0.0000 0.0000 1
F2 0.3333 0.6667 0.6667 1
F3 0.6667 0.3333 0.3333 1
# Magnetization   0.0 μB/f.u.

---

Relative energy table, unit kJ/mol of atoms: one 24.1; two 0.0

---

--- one ---
# PdOF3 GGA-PBE optimized geometry
data_PdOF3
_cell_length_a 3.8704
_cell_length_b 3.8704
_cell_length_c 3.8704
_cell_angle_alpha 90.00
_cell_angle_beta 90.00
_cell_angle_gamma 90.00
_space_group_name_H-M_alt 'P 1'
_space_group_IT_number 1
_space_group_name_Hall 'P 1'
loop_
_atom_site_label
_atom_site_fract_x
_atom_site_fract_y
_atom_site_fract_z
_atom_site_occupancy
Pd1 0.0000 0.0000 0.0000 1
O1 0.5000 0.5000 0.5000 1
F1 0.0000 0.5000 0.5000 1
F2 0.5000 0.0000 0.5000 1
F3 0.5000 0.5000 0.0000 1
# Magnetization   1.5 μB/f.u.

---

--- two ---
# PdOF3 GGA-PBE optimized geometry
data_PdOF3
_cell_length_a 4.0948
_cell_length_b 4.0948
_cell_length_c 4.0948
_cell_angle_alpha 90.00
_cell_angle_beta 90.00
_cell_angle_gamma 90.00
_space_group_name_H-M_alt 'P 1'
_space_group_IT_number 1
_space_group_name_Hall 'P 1'
loop_
_atom_site_label
_atom_site_fract_x
_atom_site_fract_y
_atom_site_fract_z
_atom_site_occupancy
Pd1 0.0000 0.0000 0.0000 1
O1 0.5000 0.5000 0.5000 1
F1 0.0000 0.0000 0.5000 1
F2 0.0000 0.5000 0.0000 1
F3 0.5000 0.0000 0.0000 1
# Magnetization   2.4 μB/f.u.

---

Relative energy table, unit kJ/mol of atoms: one 61.4; two 0.0

---

--- one ---
# PdRuOF2 GGA-PBE optimized geometry
data_PdRuOF2
_cell_length_a 4.2255
_cell_length_b 4.2255
_cell_length_c 3.9943
_cell_angle_alpha 90.00
_cell_angle_beta 90.00
_cell_angle_gamma 90.00
_space_group_name_H-M_alt 'P 1'
_space_group_IT_number 1
_space_group_name_Hall 'P 1'
loop_
_atom_site_label
_atom_site_fract_x
_atom_site_fract_y
_atom_site_fract_z
_atom_site_occupancy
Pd1 0.0000 0.0000 0.0000 1
Ru1 0.5000 0.5000 0.5000 1
O1 0.0000 0.0000 0.5000 1
F1 0.0000 0.5000 0.0000 1
F2 0.5000 0.0000 0.0000 1
# Magnetization   3.8 μB/f.u.

---

--- two ---
# PdRuOF2 GGA-PBE optimized geometry
data_PdRuOF2
_cell_length_a 4.2655
_cell_length_b 4.2655
_cell_length_c 3.7002
_cell_angle_alpha 90.00
_cell_angle_beta 90.00
_cell_angle_gamma 90.00
_space_group_name_H-M_alt 'P 1'
_space_group_IT_number 1
_space_group_name_Hall 'P 1'
loop_
_atom_site_label
_atom_site_fract_x
_atom_site_fract_y
_atom_site_fract_z
_atom_site_occupancy
Pd1 0.0000 0.0000 0.0000 1
Ru1 0.5000 0.5000 0.5000 1
O1 0.5000 0.5000 0.0000 1
F1 0.0000 0.5000 0.5000 1
F2 0.5000 0.0000 0.5000 1
# Magnetization   0.1 μB/f.u.

---

Relative energy table, unit kJ/mol of atoms: one 56.9; two 0.0

---

--- one ---
# SiPdOF2 GGA-PBE optimized geometry
data_SiPdOF2
_cell_length_a 4.1216
_cell_length_b 4.1216
_cell_length_c 3.3371
_cell_angle_alpha 90.00
_cell_angle_beta 90.00
_cell_angle_gamma 90.00
_space_group_name_H-M_alt 'P 1'
_space_group_IT_number 1
_space_group_name_Hall 'P 1'
loop_
_atom_site_label
_atom_site_fract_x
_atom_site_fract_y
_atom_site_fract_z
_atom_site_occupancy
Si1 0.0000 0.0000 0.0000 1
Pd1 0.5000 0.5000 0.5000 1
O1 0.0000 0.0000 0.5000 1
F1 0.0000 0.5000 0.0000 1
F2 0.5000 0.0000 0.0000 1
# Magnetization   0.3 μB/f.u.

---

--- two ---
# SiPdOF2 GGA-PBE optimized geometry
data_SiPdOF2
_cell_length_a 4.1674
_cell_length_b 4.1674
_cell_length_c 4.1001
_cell_angle_alpha 90.00
_cell_angle_beta 90.00
_cell_angle_gamma 90.00
_space_group_name_H-M_alt 'P 1'
_space_group_IT_number 1
_space_group_name_Hall 'P 1'
loop_
_atom_site_label
_atom_site_fract_x
_atom_site_fract_y
_atom_site_fract_z
_atom_site_occupancy
Si1 0.0000 0.0000 0.0000 1
Pd1 0.5000 0.5000 0.5000 1
O1 0.5000 0.5000 0.0000 1
F1 0.0000 0.5000 0.5000 1
F2 0.5000 0.0000 0.5000 1
# Magnetization   0.0 μB/f.u.

---

Relative energy table, unit kJ/mol of atoms: one 0.0; two 80.8

---

--- one ---
# SnPdOF2 GGA-PBE optimized geometry
data_SnPdOF2
_cell_length_a 4.3298
_cell_length_b 4.3298
_cell_length_c 4.0246
_cell_angle_alpha 90.00
_cell_angle_beta 90.00
_cell_angle_gamma 90.00
_space_group_name_H-M_alt 'P 1'
_space_group_IT_number 1
_space_group_name_Hall 'P 1'
loop_
_atom_site_label
_atom_site_fract_x
_atom_site_fract_y
_atom_site_fract_z
_atom_site_occupancy
Sn1 0.0000 0.0000 0.0000 1
Pd1 0.5000 0.5000 0.5000 1
O1 0.0000 0.0000 0.5000 1
F1 0.0000 0.5000 0.0000 1
F2 0.5000 0.0000 0.0000 1
# Magnetization   0.4 μB/f.u.

---

--- two ---
# SnPdOF2 GGA-PBE optimized geometry
data_SnPdOF2
_cell_length_a 4.2438
_cell_length_b 4.2438
_cell_length_c 4.1742
_cell_angle_alpha 90.00
_cell_angle_beta 90.00
_cell_angle_gamma 90.00
_space_group_name_H-M_alt 'P 1'
_space_group_IT_number 1
_space_group_name_Hall 'P 1'
loop_
_atom_site_label
_atom_site_fract_x
_atom_site_fract_y
_atom_site_fract_z
_atom_site_occupancy
Sn1 0.0000 0.0000 0.0000 1
Pd1 0.5000 0.5000 0.5000 1
O1 0.5000 0.5000 0.0000 1
F1 0.0000 0.5000 0.5000 1
F2 0.5000 0.0000 0.5000 1
# Magnetization   0.0 μB/f.u.

---

Relative energy table, unit kJ/mol of atoms: one 0.0; two 13.8

---

--- one ---
# TcPdOF2 GGA-PBE optimized geometry
data_TcPdOF2
_cell_length_a 4.2038
_cell_length_b 4.2038
_cell_length_c 4.0992
_cell_angle_alpha 90.00
_cell_angle_beta 90.00
_cell_angle_gamma 90.00
_space_group_name_H-M_alt 'P 1'
_space_group_IT_number 1
_space_group_name_Hall 'P 1'
loop_
_atom_site_label
_atom_site_fract_x
_atom_site_fract_y
_atom_site_fract_z
_atom_site_occupancy
Tc1 0.0000 0.0000 0.0000 1
Pd1 0.5000 0.5000 0.5000 1
O1 0.5000 0.5000 0.0000 1
F1 0.0000 0.5000 0.5000 1
F2 0.5000 0.0000 0.5000 1
# Magnetization   4.9 μB/f.u.

---

--- two ---
# TcPdOF2 GGA-PBE optimized geometry
data_TcPdOF2
_cell_length_a 4.1997
_cell_length_b 4.1997
_cell_length_c 3.7746
_cell_angle_alpha 90.00
_cell_angle_beta 90.00
_cell_angle_gamma 90.00
_space_group_name_H-M_alt 'P 1'
_space_group_IT_number 1
_space_group_name_Hall 'P 1'
loop_
_atom_site_label
_atom_site_fract_x
_atom_site_fract_y
_atom_site_fract_z
_atom_site_occupancy
Tc1 0.0000 0.0000 0.0000 1
Pd1 0.5000 0.5000 0.5000 1
O1 0.0000 0.0000 0.5000 1
F1 0.0000 0.5000 0.0000 1
F2 0.5000 0.0000 0.0000 1
# Magnetization   0.7 μB/f.u.

---

Relative energy table, unit kJ/mol of atoms: one 63.3; two 0.0